Entry 1:
Computed, not measured: a relaxed structure of KCrRu at the PBE level of DFT.

Cell: 4.9328 4.9328 2.9131 Å, 90.00 90.00 120.00°
Space group P3m1 (No. 156)
Unique sites:
K: 0.0000 0.0000 0.0000 x1
Cr: 0.3333 0.6667 0.5026 x1
Ru: 0.6667 0.3333 0.4957 x1

Summary:
Offset from the most stable computed form = 648 meV/atom
Volume = 20.46 A^3/atom
N(E_F) = 3.2 states/eV per cell
Raw total energy = -5.263 eV/atom


Entry 2:
Computed, not measured: a relaxed structure of DyPaZnCu at the PBE level of DFT.

Cell: 7.008 7.008 7.008 Å, 90.00 90.00 90.00°
Space group F-43m (No. 216)
Unique sites:
Dy: 0.000 0.000 0.000 x4
Pa: 0.000 0.000 0.500 x4
Zn: 0.250 0.250 0.750 x4
Cu: 0.250 0.250 0.250 x4

Summary:
Volume = 21.51 A^3/atom
N(E_F) = 25.8 states/eV per cell
Raw total energy = -4.826 eV/atom


Entry 3:
Computed, not measured: a relaxed structure of La6TmTl5 at the PBE level of DFT.

Cell: 5.180 9.292 15.709 Å, 90.00 90.00 90.00°
Space group Immm (No. 71)
Unique sites:
La: 0.000 0.237 0.000 x4
La: 0.000 0.259 0.327 x8
Tm: 0.000 0.000 0.500 x2
Tl: 0.000 0.000 0.170 x4
Tl: 0.000 0.500 0.150 x4
Tl: 0.000 0.500 0.500 x2

Summary:
Volume = 31.51 A^3/atom
N(E_F) = 27.0 states/eV per cell
Raw total energy = -4.151 eV/atom


Entry 4:
Computed, not measured: a relaxed structure of LaAlTe at the PBE level of DFT.

Cell: 4.9638 4.9638 3.9405 Å, 90.00 90.00 120.00°
Space group P-6m2 (No. 187)
Unique sites:
La: 0.0000 0.0000 0.0000 x1
Al: 0.6667 0.3333 0.5000 x1
Te: 0.3333 0.6667 0.5000 x1

Summary:
Energy relative to the elements, uncorrected = -1.84 eV per formula unit
Volume = 28.03 A^3/atom
N(E_F) = 1.9 states/eV per cell
Raw total energy = -4.551 eV/atom


Entry 5:
Computed, not measured: a relaxed structure of PuCuIr2 at the PBE level of DFT.

Cell: 6.430 6.430 6.430 Å, 90.00 90.00 90.00°
Space group Fm-3m (No. 225)
Unique sites:
Pu: 0.000 0.000 0.000 x4
Cu: 0.000 0.000 0.500 x4
Ir: 0.250 0.250 0.250 x8

Summary:
Offset from the most stable computed form = 100 meV/atom
Volume = 16.61 A^3/atom
N(E_F) = 10.8 states/eV per cell
Raw total energy = -9.186 eV/atom


Entry 6:
Computed, not measured: a relaxed structure of Tb2PmRh4 at the PBE level of DFT.

Cell: 4.713 4.713 6.739 Å, 90.00 90.00 90.00°
Space group P4/mmm (No. 123)
Unique sites:
Tb: 0.000 0.000 0.000 x1
Tb: 0.500 0.500 0.500 x1
Pm: 0.000 0.000 0.500 x1
Rh: 0.000 0.500 0.241 x4

Summary:
Volume = 21.38 A^3/atom
N(E_F) = 5.1 states/eV per cell
Raw total energy = -6.585 eV/atom